Here is Ca2Bi2O5 after structural relaxation from Alexandria via LeMat-Bulk. Energies are from PBEsol.

```
Ca2Bi2O5
1.0
10.018 0.000 0.000
-0.535 10.031 0.000
-3.125 -4.925 8.700
Ca Bi O
12 12 30
direct
0.061 0.474 0.161
0.153 0.896 0.985
0.168 0.569 0.660
0.218 0.200 0.316
0.345 0.895 0.353
0.404 0.654 0.479
0.596 0.346 0.521
0.655 0.105 0.647
0.782 0.800 0.684
0.832 0.431 0.340
0.847 0.104 0.015
0.939 0.526 0.839
0.061 0.797 0.510
0.077 0.147 0.847
0.313 0.568 0.029
0.332 0.245 0.678
0.422 0.979 0.809
0.423 0.308 0.162
0.577 0.692 0.838
0.578 0.021 0.191
0.668 0.755 0.322
0.687 0.432 0.971
0.923 0.853 0.153
0.939 0.203 0.490
0.081 0.383 0.920
0.092 0.573 0.424
0.099 0.174 0.066
0.111 0.842 0.737
0.142 0.942 0.227
0.160 0.307 0.531
0.168 0.653 0.904
0.272 0.634 0.239
0.318 0.898 0.570
0.368 0.072 0.151
0.380 0.723 0.723
0.381 0.397 0.364
0.417 0.167 0.504
0.433 0.481 0.797
0.463 0.804 0.176
0.537 0.196 0.824
0.567 0.519 0.203
0.583 0.833 0.496
0.619 0.603 0.636
0.620 0.277 0.277
0.632 0.928 0.849
0.682 0.102 0.430
0.728 0.366 0.761
0.832 0.347 0.096
0.840 0.693 0.469
0.858 0.058 0.773
0.889 0.158 0.263
0.901 0.826 0.934
0.908 0.427 0.576
0.919 0.617 0.080
```

Its symmetry is P-1 (2). The calculation puts the calculated total energy at -6.3664 eV per atom. The calculation puts the magnetic moment at 0.0 Bohr magnetons per cell.

---

Here is Nb2TcSe2 after structural relaxation from Alexandria via LeMat-Bulk. Energies are from PBEsol.

```
Nb2TcSe2
1.0
-1.820 1.820 6.725
1.820 -1.820 6.725
1.820 1.820 -6.725
Nb Tc Se
2 1 2
direct
0.103 0.103 0.000
0.897 0.897 0.000
0.500 0.500 0.000
0.250 0.750 0.500
0.750 0.250 0.500
```

Its symmetry is I4/mmm (139). The calculation puts the calculated total energy at -7.7552 eV per atom. The calculation puts the magnetic moment at 0.3 Bohr magnetons per cell.

---

Here is Zr2CuAu after structural relaxation from Alexandria via LeMat-Bulk. Energies are from PBEsol.

```
Zr2CuAu
1.0
3.113 0.000 0.000
0.000 3.874 0.000
0.000 0.000 5.915
Zr Cu Au
2 1 1
direct
0.000 0.000 0.241
0.000 0.000 0.759
0.500 0.500 0.000
0.500 0.500 0.500
```

Its symmetry is Pmmm (47). The calculation puts the magnetic moment at 0.0 Bohr magnetons per cell. For the energy of formation, the calculation gives -302 meV per atom.

---

Here is HfCr2N2 after structural relaxation from Alexandria via LeMat-Bulk. Energies are from PBEsol.

```
HfCr2N2
1.0
-1.592 1.592 4.999
1.592 -1.592 4.999
1.592 1.592 -4.999
Hf Cr N
1 2 2
direct
0.000 0.000 0.000
0.250 0.750 0.500
0.750 0.250 0.500
0.373 0.373 0.000
0.627 0.627 0.000
```

Its symmetry is I4/mmm (139). The calculation puts the calculated total energy at -9.9690 eV per atom. The calculation puts the magnetic moment at 0.6 Bohr magnetons per cell.

---

Here is AlInN2O after structural relaxation from Alexandria via LeMat-Bulk. Energies are from PBEsol.

```
AlInN2O
1.0
3.826 0.000 0.000
0.000 3.826 0.000
0.000 0.000 3.650
Al In N O
1 1 2 1
direct
0.000 0.000 0.000
0.500 0.500 0.500
0.000 0.500 0.000
0.500 0.000 0.000
0.000 0.000 0.500
```

Its symmetry is P4/mmm (123). The calculation puts the calculated total energy at -5.9754 eV per atom. The calculation puts the magnetic moment at 1.6 Bohr magnetons per cell.

---

Here is Y3BCl3 after structural relaxation from Alexandria via LeMat-Bulk. Energies are from PBEsol.

```
Y3BCl3
1.0
-5.362 5.362 5.362
5.362 -5.362 5.362
5.362 5.362 -5.362
Y B Cl
12 4 12
direct
0.014 0.027 0.264
0.014 0.486 0.750
0.027 0.264 0.014
0.236 0.264 0.750
0.236 0.473 0.486
0.264 0.014 0.027
0.264 0.750 0.236
0.473 0.486 0.236
0.486 0.236 0.473
0.486 0.750 0.014
0.750 0.014 0.486
0.750 0.236 0.264
0.000 0.250 0.500
0.250 0.250 0.250
0.250 0.500 0.000
0.500 0.000 0.250
0.250 0.757 0.743
0.250 0.993 0.507
0.507 0.250 0.993
0.507 0.757 0.513
0.513 0.507 0.757
0.743 0.250 0.757
0.743 0.993 0.987
0.757 0.513 0.507
0.757 0.743 0.250
0.987 0.743 0.993
0.993 0.507 0.250
0.993 0.987 0.743
```

Its symmetry is I4_132 (214). The calculation puts the calculated total energy at -6.3547 eV per atom. The calculation puts the magnetic moment at 0.0 Bohr magnetons per cell.

---

Here is La2CdOsF after structural relaxation from Alexandria via LeMat-Bulk. Energies are from PBEsol.

```
La2CdOsF
1.0
4.990 0.000 0.000
0.000 4.990 0.000
0.000 0.000 4.360
La Cd Os F
2 1 1 1
direct
0.000 0.500 0.000
0.500 0.000 0.000
0.000 0.000 0.500
0.500 0.500 0.500
0.500 0.500 0.000
```

Its symmetry is P4/mmm (123). The calculation puts the calculated total energy at -5.6327 eV per atom. The calculation puts the magnetic moment at 0.0 Bohr magnetons per cell.

---

Here is BaAs12Ru4 after structural relaxation from Alexandria via LeMat-Bulk. Energies are from PBEsol.

```
BaAs12Ru4
1.0
-4.269 4.269 4.269
4.269 -4.269 4.269
4.269 4.269 -4.269
Ba As Ru
1 12 4
direct
0.000 0.000 0.000
0.153 0.353 0.506
0.153 0.647 0.800
0.200 0.847 0.353
0.353 0.200 0.847
0.353 0.506 0.153
0.494 0.847 0.647
0.506 0.153 0.353
0.647 0.494 0.847
0.647 0.800 0.153
0.800 0.153 0.647
0.847 0.353 0.200
0.847 0.647 0.494
0.000 0.000 0.500
0.000 0.500 0.000
0.500 0.000 0.000
0.500 0.500 0.500
```

Its symmetry is Im-3 (204). The calculation puts the magnetic moment at 0.0 Bohr magnetons per cell. For the energy of formation, the calculation gives -450 meV per atom.

---

Here is ScAlTl2 after structural relaxation from Alexandria via LeMat-Bulk. Energies are from PBEsol.

```
ScAlTl2
1.0
-2.114 2.114 4.853
2.114 -2.114 4.853
2.114 2.114 -4.853
Sc Al Tl
1 1 2
direct
0.000 0.000 0.000
0.250 0.750 0.500
0.500 0.500 0.000
0.750 0.250 0.500
```

Its symmetry is I-4m2 (119). For the energy above the lowest structure with this stoichiometry, the calculation gives 0.0 meV per atom. The calculation puts the magnetic moment at 0.0 Bohr magnetons per cell. For the energy of formation, the calculation gives -134 meV per atom.

---

Here is LuZn3 after structural relaxation from Alexandria via LeMat-Bulk. Energies are from PBEsol.

```
LuZn3
1.0
6.507 0.000 0.000
0.000 4.218 0.000
0.000 0.000 9.774
Lu Zn
4 12
direct
0.224 0.250 0.165
0.276 0.750 0.665
0.724 0.250 0.335
0.776 0.750 0.835
0.039 0.750 0.397
0.077 0.250 0.853
0.217 0.750 0.958
0.283 0.250 0.458
0.423 0.750 0.353
0.461 0.250 0.897
0.539 0.750 0.103
0.577 0.250 0.647
0.717 0.750 0.542
0.783 0.250 0.042
0.923 0.750 0.147
0.961 0.250 0.603
```

Its symmetry is Pnma (62). The calculation puts the magnetic moment at 0.0 Bohr magnetons per cell. For the energy of formation, the calculation gives -359 meV per atom.

---

Here is ZnCd2As after structural relaxation from Alexandria via LeMat-Bulk. Energies are from PBEsol.

```
ZnCd2As
1.0
-2.087 2.087 4.398
2.087 -2.087 4.398
2.087 2.087 -4.398
Zn Cd As
1 2 1
direct
0.000 0.000 0.000
0.250 0.750 0.500
0.500 0.500 0.000
0.750 0.250 0.500
```

Its symmetry is I-4m2 (119). For the energy above the lowest structure with this stoichiometry, the calculation gives 0.0 meV per atom. The calculation puts the magnetic moment at 0.0 Bohr magnetons per cell. For the energy of formation, the calculation gives 134 meV per atom.

---

Here is MnHg2Te after structural relaxation from Alexandria via LeMat-Bulk. Energies are from PBEsol.

```
MnHg2Te
1.0
2.845 -2.938 0.000
2.845 2.938 0.000
0.000 0.000 5.593
Mn Hg Te
1 2 1
direct
0.000 0.000 0.000
0.242 0.758 0.500
0.758 0.242 0.500
0.500 0.500 0.000
```

Its symmetry is Cmmm (65). The calculation puts the calculated total energy at -3.3875 eV per atom. The calculation puts the magnetic moment at 4.6 Bohr magnetons per cell.